TaAl3N: relaxed, PBE.

Computed properties:
Relative energy among the computed polymorphs in meV per atom: 0.0
E_form (uncorrected) in eV/atom: 0.05
Space group: No. 221
M_tot in μB/f.u.: 0.30

Cell: 4.0884 4.0884 4.0884 Å, 90.00 90.00 90.00°
Each line ends with the local moment (μB).
Element x y z (fractional)
N1 0.0000 0.0000 0.0000  0.06
Al1 0.5000 0.0000 0.0000  0.00
Ta1 0.5000 0.5000 0.5000  0.12
Al2 0.0000 0.0000 0.5000  0.00
Al3 0.0000 0.5000 0.0000  0.00

Ta2AlN: relaxed, PBE.

Computed properties:
E_form (uncorrected) in eV/atom: 0.79
Space group: No. 225
M_tot in μB/f.u.: 0.00

Cell: 4.3445 4.3445 4.3445 Å, 60.00 60.00 60.00°
Element x y z (fractional)
Al1 0.5000 0.5000 0.5000
Ta1 0.2500 0.2500 0.2500
Ta2 0.7500 0.7500 0.7500
N1 0.0000 0.0000 0.0000

Ta2AlN: relaxed, PBE.

Computed properties:
E_form (uncorrected) in eV/atom: -0.53
Space group: No. 166
M_tot in μB/f.u.: 0.00

Cell: 2.9686 2.9686 7.6256 Å, 78.78 78.78 60.00°
Element x y z (fractional)
Ta1 0.7713 0.7713 0.6862
N1 0.5000 0.5000 0.5000
Al1 0.0000 0.0000 0.0000
Ta2 0.2287 0.2287 0.3138

TaAl2TcN: relaxed, PBE.

Computed properties:
E_form (uncorrected) in eV/atom: 1.14
Space group: No. 123
M_tot in μB/f.u.: 2.93

Cell: 5.1480 3.8605 5.1480 Å, 90.00 90.00 90.00°
Each line ends with the local moment (μB).
Element x y z (fractional)
Al1 0.0000 0.0000 0.5000  -0.03
Al2 0.5000 0.0000 0.0000  -0.01
Ta1 0.0000 0.0000 0.0000  -0.07
Tc1 0.5000 0.5000 0.5000  2.71
N1 0.0000 0.5000 0.0000  0.12

TaAlTe2N: relaxed, PBE.

Computed properties:
Relative energy among the computed polymorphs in meV per atom: 502.5
E_form (uncorrected) in eV/atom: 0.63
Space group: No. 123
M_tot in μB/f.u.: 0.00

Cell: 5.4207 5.4207 3.4672 Å, 90.00 90.00 90.00°
Element x y z (fractional)
Al1 0.0000 0.0000 0.0000
N1 0.0000 0.0000 0.5000
Ta1 0.5000 0.5000 0.5000
Te1 0.0000 0.5000 0.0000
Te2 0.5000 0.0000 0.0000

TaAlTe2N: relaxed, PBE.

Computed properties:
Relative energy among the computed polymorphs in meV per atom: 0.0
E_form (uncorrected) in eV/atom: 0.13
Space group: No. 123
M_tot in μB/f.u.: 0.00

Cell: 5.5920 5.5920 3.9039 Å, 90.00 90.00 90.00°
Element x y z (fractional)
Ta1 0.0000 0.0000 0.0000
Te1 0.0000 0.5000 0.0000
Te2 0.5000 0.0000 0.0000
Al1 0.5000 0.5000 0.5000
N1 0.0000 0.0000 0.5000

Th2TaAlN6: relaxed, PBE.

Computed properties:
E_form (uncorrected) in eV/atom: -1.14
Space group: No. 14
M_tot in μB/f.u.: 0.00

Cell: 5.7155 5.5033 7.9197 Å, 90.00 90.41 90.00°
Element x y z (fractional)
N1 0.9057 0.5036 0.2463
Ta1 0.5000 0.0000 0.0000
Th1 0.4918 0.4945 0.2536
N2 0.2511 0.7389 0.0528
N3 0.4057 0.9964 0.7463
N4 0.2402 0.2486 0.0522
N5 0.2598 0.7486 0.4478
N6 0.5943 0.0036 0.2537
N7 0.2489 0.2389 0.4472
Th2 0.0082 0.9945 0.2464
N8 0.7402 0.2514 0.5522
Th3 0.9918 0.0055 0.7536
N9 0.7511 0.7611 0.5528
Th4 0.5082 0.5055 0.7464
N10 0.0943 0.4964 0.7537
Al1 0.5000 0.0000 0.5000
Ta2 0.0000 0.5000 0.5000
N11 0.7489 0.2611 0.9472
Al2 0.0000 0.5000 0.0000
N12 0.7598 0.7514 0.9478

Ta2TiAlN: relaxed, PBE.

Computed properties:
E_form (uncorrected) in eV/atom: -0.59
Space group: No. 123
M_tot in μB/f.u.: 0.00

Cell: 4.3218 4.3218 3.9729 Å, 90.00 90.00 90.00°
Element x y z (fractional)
Ti1 0.0000 0.0000 0.5000
Al1 0.5000 0.5000 0.5000
Ta1 0.5000 0.0000 0.0000
N1 0.0000 0.0000 0.0000
Ta2 0.0000 0.5000 0.0000

Final energy values, unit eV/f.u., following the record order: -31.135, -32.606, -37.901, -32.338, -27.040, -29.552, -91.837, -46.603.